Version one
# InHgCl2 (PBE-GGA, relaxed)
# Mass density, g/cm³: 5.29
# Crystal system: trigonal
# Total moment, μB per atom: 0.00
data_InHgCl2
_symmetry_space_group_name_H-M 'P 1'
_symmetry_Int_Tables_number 1
_cell_length_a 9.655
_cell_length_b 9.655
_cell_length_c 9.655
_cell_angle_alpha 23.06
_cell_angle_beta 23.06
_cell_angle_gamma 23.06
loop_
_symmetry_equiv_pos_as_xyz
'x,y,z'
loop_
_atom_site_label
_atom_site_type_symbol
_atom_site_fract_x
_atom_site_fract_y
_atom_site_fract_z
_atom_site_occupancy
Hg1 Hg 0.500 0.500 0.500 1
In1 In 0.000 0.000 0.000 1
Cl1 Cl 0.106 0.106 0.106 1
Cl2 Cl 0.894 0.894 0.894 1

Version two
# InHgCl2 (PBE-GGA, relaxed)
# Mass density, g/cm³: 6.01
# Crystal system: tetragonal
# Total moment, μB per atom: 0.00
data_InHgCl2
_symmetry_space_group_name_H-M 'P 1'
_symmetry_Int_Tables_number 1
_cell_length_a 3.617
_cell_length_b 3.617
_cell_length_c 8.160
_cell_angle_alpha 90.00
_cell_angle_beta 90.00
_cell_angle_gamma 90.00
loop_
_symmetry_equiv_pos_as_xyz
'x,y,z'
loop_
_atom_site_label
_atom_site_type_symbol
_atom_site_fract_x
_atom_site_fract_y
_atom_site_fract_z
_atom_site_occupancy
Cl1 Cl 0.000 0.000 0.941 1
Cl2 Cl 0.500 0.500 0.314 1
In1 In 0.500 0.500 0.756 1
Hg1 Hg 0.000 0.000 0.489 1

Least stable of them? version one.

Version one
# InHgCl2 (PBE-GGA, relaxed)
# Mass density, g/cm³: 3.01
# Crystal system: tetragonal
# Total moment, μB per atom: 0.00
data_InHgCl2
_symmetry_space_group_name_H-M 'P 1'
_symmetry_Int_Tables_number 1
_cell_length_a 8.402
_cell_length_b 8.402
_cell_length_c 8.476
_cell_angle_alpha 60.29
_cell_angle_beta 60.29
_cell_angle_gamma 90.00
loop_
_symmetry_equiv_pos_as_xyz
'x,y,z'
loop_
_atom_site_label
_atom_site_type_symbol
_atom_site_fract_x
_atom_site_fract_y
_atom_site_fract_z
_atom_site_occupancy
Hg1 Hg 0.750 0.250 0.500 1
Hg2 Hg 0.000 0.000 0.000 1
Cl1 Cl 0.382 0.625 0.250 1
Cl2 Cl 0.375 0.632 0.750 1
Cl3 Cl 0.875 0.618 0.750 1
Cl4 Cl 0.368 0.125 0.250 1
In1 In 0.500 0.500 0.000 1
In2 In 0.250 0.750 0.500 1

Version two
# InHgCl2 (PBE-GGA, relaxed)
# Mass density, g/cm³: 5.54
# Crystal system: orthorhombic
# Total moment, μB per atom: 0.00
data_InHgCl2
_symmetry_space_group_name_H-M 'P 1'
_symmetry_Int_Tables_number 1
_cell_length_a 4.375
_cell_length_b 6.520
_cell_length_c 4.062
_cell_angle_alpha 90.00
_cell_angle_beta 90.00
_cell_angle_gamma 90.00
loop_
_symmetry_equiv_pos_as_xyz
'x,y,z'
loop_
_atom_site_label
_atom_site_type_symbol
_atom_site_fract_x
_atom_site_fract_y
_atom_site_fract_z
_atom_site_occupancy
In1 In 0.000 0.500 0.500 1
Cl1 Cl 0.000 0.000 0.000 1
Cl2 Cl 0.500 0.500 0.000 1
Hg1 Hg 0.500 0.000 0.500 1

Least stable of them? version two.